## IBr2F (PBE)

Data for a relaxed IBr2F crystal.

a = 4.5329 Å, b = 6.4657 Å, c = 6.5386 Å
α = 116.81°, β = 92.03°, γ = 95.62°
Last column: nearest neighbours and their distance in Å.
Space group P1 (No. 1)
Inequivalent atoms, fractional coordinates:
I1 0.0000 0.0000 0.0000  2 F 2.27
Br1 0.9915 0.7541 0.2457  1 Br 2.52, 1 I 2.72
Br2 0.9918 0.5265 0.4729  1 Br 2.52
F1 0.5006 0.0063 0.9925  2 I 2.27

Calculated values
D(E_F): 1.741 states/eV/cell
Uncorrected formation energy: -293 meV per atom
Size of the total moment: 0.00 μB per cell
ΔE to the lowest computed polymorph: 0.000 eV per atom

=====

## Dy2Y8Hg (PBE)

Data for a relaxed Dy2Y8Hg crystal.

a = 19.3908 Å, b = 5.5625 Å, c = 6.4099 Å
α = 90.00°, β = 95.23°, γ = 90.00°
Last column: nearest neighbours and their distance in Å.
Space group C2/m (No. 12)
Inequivalent atoms, fractional coordinates:
Dy1 0.2432 0.0000 0.3337  9 Y 3.43-3.79, 2 Dy 3.50
Y1 0.0441 0.0000 0.2636  2 Hg 3.33, 6 Y 3.56-3.72
Y2 0.0775 0.5000 0.6044  1 Hg 3.06, 3 Y 3.18-3.36
Y3 0.1559 0.0000 0.7998  5 Y 3.36-3.57, 4 Dy 3.55-3.68
Y4 0.1592 0.5000 0.1262  1 Hg 3.12, 2 Dy 3.43, 2 Y 3.48
Hg1 0.0000 0.5000 0.0000  8 Y 3.06-3.33

Calculated values
D(E_F): 34.232 states/eV/cell
Size of the total moment: 0.00 μB per cell
ΔH_f (0 K): -0.0563 eV per atom